Record 1
## CaSbIN2 (GGA-PBEsol)

Data for a geometry-optimized CaSbIN2 structure.

Output
E_form (uncorrected): 1.250 eV per atom
volume: 125.07 Å³ per cell
crystal system: tetragonal
ρ: 4.2 g cm⁻³
DOS(E_F): 3.61 states/eV/f.u.

The structure in POSCAR format:
```
CaSbIN2
1.0
-2.6787 1.6624 -3.3417
-2.8798 -3.5372 0.5488
-3.0625 3.1145 4.0043
N I Sb Ca
2 1 1 1
Cartesian
-1.3394 0.8312 -1.6708 N
-1.4399 -1.7686 0.2744 N
-1.5312 1.5573 2.0022 I
-4.3105 0.6199 0.6057 Sb
0.0000 0.0000 0.0000 Ca
```

Record 2
## CaYIN2 (GGA-PBEsol)

Data for a geometry-optimized CaYIN2 structure.

Output
E_form (uncorrected): 0.561 eV per atom
volume: 104.99 Å³ per cell
crystal system: tetragonal
ρ: 4.5 g cm⁻³
DOS(E_F): 1.71 states/eV/f.u.

The structure in POSCAR format:
```
CaYIN2
1.0
-2.5221 -0.0828 3.5796
2.2365 -3.4557 1.4959
3.4946 3.3613 2.5401
Ca N Y I
1 2 1 1
Cartesian
0.0000 0.0000 0.0000 Ca
-1.2611 -0.0414 1.7898 N
1.1183 -1.7278 0.7479 N
1.6045 -0.0886 3.8078 Y
1.7473 1.6806 1.2700 I
```

Record 3
## NaCa3I (GGA-PBEsol)

Data for a geometry-optimized NaCa3I structure.

Output
E_form (uncorrected): 0.184 eV per atom
volume: 225.55 Å³ per cell
crystal system: cubic
ρ: 2.0 g cm⁻³
DOS(E_F): 3.75 states/eV/f.u.

The structure in POSCAR format:
```
NaCa3I
1.0
-1.0538 3.9638 4.4979
-4.8195 2.1562 -3.0293
-3.5659 -4.0856 2.7650
I Ca Na
1 3 1
Cartesian
-4.7196 1.0172 2.1168 I
-2.4097 1.0781 -1.5147 Ca
-1.7829 -2.0428 1.3825 Ca
-0.5269 1.9819 2.2489 Ca
0.0000 0.0000 0.0000 Na
```

Record 4
## CaNbI3 (GGA-PBEsol)

Data for a geometry-optimized CaNbI3 structure.

Output
E_form (uncorrected): -0.163 eV per atom
volume: 174.23 Å³ per cell
crystal system: cubic
ρ: 4.9 g cm⁻³
DOS(E_F): 3.72 states/eV/f.u.

The structure in POSCAR format:
```
CaNbI3
1.0
-2.0123 -2.3407 -4.6547
5.0195 -2.2082 -1.0595
-1.3962 -4.5650 2.8992
Nb I Ca
1 3 1
Cartesian
0.0000 0.0000 0.0000 Nb
-0.6981 -2.2825 1.4496 I
-1.0061 -1.1704 -2.3273 I
2.5098 -1.1041 -0.5298 I
0.8055 -4.5570 -1.4075 Ca
```

Q: Which value of volume does entry 2 give?
A: 104.99 Å³ per cell